# Ac7La12Cd

An optimized crystal structure of Ac7La12Cd (PBE, Alexandria via LeMat-Bulk).

a = 9.294 Å, b = 9.294 Å, c = 9.294 Å
α = 89.57°, β = 89.57°, γ = 89.57°
Atoms (fractional coordinates):
Ac1 0.000 0.000 0.000
Ac2 0.120 0.268 0.709
Ac3 0.268 0.709 0.120
Ac4 0.291 0.880 0.732
Ac5 0.709 0.120 0.268
Ac6 0.732 0.291 0.880
Ac7 0.880 0.732 0.291
La1 0.037 0.375 0.159
La2 0.159 0.037 0.375
La3 0.170 0.600 0.494
La4 0.375 0.159 0.037
La5 0.400 0.506 0.830
La6 0.494 0.170 0.600
La7 0.506 0.830 0.400
La8 0.600 0.494 0.170
La9 0.625 0.841 0.963
La10 0.830 0.400 0.506
La11 0.841 0.963 0.625
La12 0.963 0.625 0.841
Cd1 0.500 0.500 0.500

Calculated values
Raw total energy in eV/cell: -86.08
Volume in Å³/cell: 802.8

=====

# AcLuRu2

An optimized crystal structure of AcLuRu2 (PBE, Alexandria via LeMat-Bulk).

a = 6.998 Å, b = 6.998 Å, c = 6.998 Å
α = 90.00°, β = 90.00°, γ = 90.00°
Atoms (fractional coordinates):
Ac1 0.000 0.000 0.000
Ac2 0.000 0.500 0.500
Ac3 0.500 0.000 0.500
Ac4 0.500 0.500 0.000
Lu1 0.000 0.000 0.500
Lu2 0.000 0.500 0.000
Lu3 0.500 0.000 0.000
Lu4 0.500 0.500 0.500
Ru1 0.250 0.250 0.250
Ru2 0.250 0.250 0.750
Ru3 0.250 0.750 0.250
Ru4 0.250 0.750 0.750
Ru5 0.750 0.250 0.250
Ru6 0.750 0.250 0.750
Ru7 0.750 0.750 0.250
Ru8 0.750 0.750 0.750

Calculated values
Raw total energy in eV/cell: -110.75
ΔE to the lowest computed polymorph in meV per atom: 0
Volume in Å³/cell: 342.7

=====

# KSrY2

An optimized crystal structure of KSrY2 (PBE, Alexandria via LeMat-Bulk).

a = 5.212 Å, b = 5.212 Å, c = 6.187 Å
α = 90.00°, β = 90.00°, γ = 90.00°
Atoms (fractional coordinates):
K1 0.000 0.000 0.000
Sr1 0.500 0.500 0.000
Y1 0.000 0.500 0.500
Y2 0.500 0.000 0.500

Calculated values
Raw total energy in eV/cell: -13.71
ΔE to the lowest computed polymorph in meV per atom: 295
Volume in Å³/cell: 168.1

=====

# PmEu2Dy

An optimized crystal structure of PmEu2Dy (PBE, Alexandria via LeMat-Bulk).

a = 3.597 Å, b = 3.597 Å, c = 39.011 Å
α = 90.00°, β = 90.00°, γ = 120.00°
Atoms (fractional coordinates):
Pm1 0.000 0.000 0.000
Pm2 0.333 0.667 0.667
Pm3 0.667 0.333 0.333
Eu1 0.000 0.000 0.414
Eu2 0.000 0.000 0.586
Eu3 0.333 0.667 0.080
Eu4 0.333 0.667 0.253
Eu5 0.667 0.333 0.747
Eu6 0.667 0.333 0.920
Dy1 0.000 0.000 0.500
Dy2 0.333 0.667 0.167
Dy3 0.667 0.333 0.833

Calculated values
Raw total energy in eV/cell: -86.99
ΔE to the lowest computed polymorph in meV per atom: 118
Volume in Å³/cell: 437.2

=====

# Nd4Tm5Tl

An optimized crystal structure of Nd4Tm5Tl (PBE, Alexandria via LeMat-Bulk).

a = 4.101 Å, b = 4.101 Å, c = 18.624 Å
α = 90.00°, β = 90.00°, γ = 90.00°
Atoms (fractional coordinates):
Nd1 0.000 0.000 0.103
Nd2 0.000 0.000 0.305
Nd3 0.000 0.000 0.695
Nd4 0.000 0.000 0.897
Tm1 0.500 0.500 0.000
Tm2 0.500 0.500 0.207
Tm3 0.500 0.500 0.413
Tm4 0.500 0.500 0.587
Tm5 0.500 0.500 0.793
Tl1 0.000 0.000 0.500

Calculated values
Raw total energy in eV/cell: -43.46
ΔE to the lowest computed polymorph in meV per atom: 0
Volume in Å³/cell: 313.2

=====

# NaAcPtO6

An optimized crystal structure of NaAcPtO6 (PBE, Alexandria via LeMat-Bulk).

a = 5.659 Å, b = 5.659 Å, c = 5.023 Å
α = 90.00°, β = 90.00°, γ = 120.00°
Atoms (fractional coordinates):
Na1 0.000 0.000 0.000
Ac1 0.333 0.667 0.500
Pt1 0.667 0.333 0.000
O1 0.388 0.054 0.779
O2 0.388 0.334 0.221
O3 0.666 0.054 0.221
O4 0.666 0.612 0.779
O5 0.946 0.334 0.779
O6 0.946 0.612 0.221

Calculated values
Formation energy (no corrections) in eV/f.u.: -10.35
Raw total energy in eV/cell: -51.57
Volume in Å³/cell: 139.3

=====

# Nd2SmDyBi4

An optimized crystal structure of Nd2SmDyBi4 (PBE, Alexandria via LeMat-Bulk).

a = 7.902 Å, b = 4.567 Å, c = 7.906 Å
α = 90.00°, β = 109.48°, γ = 90.00°
Atoms (fractional coordinates):
Nd1 0.000 0.000 0.000
Nd2 0.000 0.500 0.500
Sm1 0.500 0.000 0.500
Dy1 0.500 0.500 0.000
Bi1 0.255 0.500 0.249
Bi2 0.257 0.000 0.755
Bi3 0.743 0.000 0.245
Bi4 0.745 0.500 0.751

Calculated values
Raw total energy in eV/cell: -41.73
Volume in Å³/cell: 269.0

=====

# MnAgAu2Cl

An optimized crystal structure of MnAgAu2Cl (PBE, Alexandria via LeMat-Bulk).

a = 5.100 Å, b = 5.100 Å, c = 5.137 Å
α = 90.00°, β = 90.00°, γ = 90.00°
Atoms (fractional coordinates):
Mn1 0.000 0.000 0.000
Ag1 0.000 0.000 0.500
Au1 0.000 0.500 0.500
Au2 0.500 0.000 0.500
Cl1 0.500 0.500 0.000

Calculated values
Formation energy (no corrections) in eV/f.u.: 3.75
Raw total energy in eV/cell: -16.68
Volume in Å³/cell: 133.6

=====

# TbPmNiI

An optimized crystal structure of TbPmNiI (PBE, Alexandria via LeMat-Bulk).

a = 4.066 Å, b = 4.066 Å, c = 23.838 Å
α = 90.00°, β = 90.00°, γ = 120.00°
Atoms (fractional coordinates):
Tb1 0.000 0.000 0.000
Tb2 0.333 0.667 0.667
Tb3 0.667 0.333 0.333
Pm1 0.000 0.000 0.787
Pm2 0.333 0.667 0.454
Pm3 0.667 0.333 0.120
Ni1 0.000 0.000 0.392
Ni2 0.333 0.667 0.059
Ni3 0.667 0.333 0.725
I1 0.000 0.000 0.563
I2 0.333 0.667 0.229
I3 0.667 0.333 0.896

Calculated values
Formation energy (no corrections) in eV/f.u.: -2.67
Raw total energy in eV/cell: -58.14
Volume in Å³/cell: 341.2

=====

# MgScZnBr2

An optimized crystal structure of MgScZnBr2 (PBE, Alexandria via LeMat-Bulk).

a = 5.245 Å, b = 5.245 Å, c = 5.889 Å
α = 90.00°, β = 90.00°, γ = 90.00°
Atoms (fractional coordinates):
Mg1 0.000 0.000 0.000
Sc1 0.500 0.500 0.500
Zn1 0.500 0.500 0.000
Br1 0.000 0.500 0.500
Br2 0.500 0.000 0.500

Calculated values
Formation energy (no corrections) in eV/f.u.: -2.13
Raw total energy in eV/cell: -14.68
Volume in Å³/cell: 162.0

=====

# NaAlGa2

An optimized crystal structure of NaAlGa2 (PBE, Alexandria via LeMat-Bulk).

a = 4.337 Å, b = 4.337 Å, c = 17.162 Å
α = 90.00°, β = 90.00°, γ = 120.00°
Atoms (fractional coordinates):
Na1 0.000 0.000 0.000
Na2 0.333 0.667 0.667
Na3 0.667 0.333 0.333
Al1 0.000 0.000 0.188
Al2 0.333 0.667 0.854
Al3 0.667 0.333 0.521
Ga1 0.000 0.000 0.560
Ga2 0.000 0.000 0.786
Ga3 0.333 0.667 0.226
Ga4 0.333 0.667 0.453
Ga5 0.667 0.333 0.120
Ga6 0.667 0.333 0.893

Calculated values
Raw total energy in eV/cell: -33.20
Volume in Å³/cell: 279.6

=====

# TbPm2Ho2Er

An optimized crystal structure of TbPm2Ho2Er (PBE, Alexandria via LeMat-Bulk).

a = 6.990 Å, b = 5.634 Å, c = 9.752 Å
α = 90.00°, β = 90.00°, γ = 90.00°
Atoms (fractional coordinates):
Tb1 0.250 0.000 0.159
Tb2 0.750 0.000 0.841
Pm1 0.000 0.000 0.500
Pm2 0.250 0.500 0.677
Pm3 0.500 0.000 0.500
Pm4 0.750 0.500 0.323
Ho1 0.250 0.000 0.831
Ho2 0.250 0.500 0.337
Ho3 0.750 0.000 0.169
Ho4 0.750 0.500 0.663
Er1 0.000 0.500 0.000
Er2 0.500 0.500 0.000

Calculated values
Raw total energy in eV/cell: -54.92
Volume in Å³/cell: 384.1

=====

# CsPd2Au2

An optimized crystal structure of CsPd2Au2 (PBE, Alexandria via LeMat-Bulk).

a = 4.631 Å, b = 4.631 Å, c = 11.471 Å
α = 90.00°, β = 90.00°, γ = 90.00°
Atoms (fractional coordinates):
Cs1 0.000 0.000 0.000
Cs2 0.500 0.500 0.500
Pd1 0.000 0.500 0.250
Pd2 0.000 0.500 0.750
Pd3 0.500 0.000 0.250
Pd4 0.500 0.000 0.750
Au1 0.000 0.000 0.379
Au2 0.000 0.000 0.621
Au3 0.500 0.500 0.121
Au4 0.500 0.500 0.879

Calculated values
Raw total energy in eV/cell: -34.61
ΔE to the lowest computed polymorph in meV per atom: 19
Volume in Å³/cell: 246.0

=====

# DyY4Er15

An optimized crystal structure of DyY4Er15 (PBE, Alexandria via LeMat-Bulk).

a = 4.979 Å, b = 4.979 Å, c = 24.905 Å
α = 90.00°, β = 90.00°, γ = 90.00°
Atoms (fractional coordinates):
Dy1 0.000 0.000 0.000
Y1 0.000 0.000 0.200
Y2 0.000 0.000 0.400
Y3 0.000 0.000 0.600
Y4 0.000 0.000 0.800
Er1 0.000 0.500 0.099
Er2 0.000 0.500 0.300
Er3 0.000 0.500 0.500
Er4 0.000 0.500 0.700
Er5 0.000 0.500 0.901
Er6 0.500 0.000 0.099
Er7 0.500 0.000 0.300
Er8 0.500 0.000 0.500
Er9 0.500 0.000 0.700
Er10 0.500 0.000 0.901
Er11 0.500 0.500 0.000
Er12 0.500 0.500 0.200
Er13 0.500 0.500 0.400
Er14 0.500 0.500 0.600
Er15 0.500 0.500 0.800

Calculated values
Raw total energy in eV/cell: -98.41
Volume in Å³/cell: 617.5

=====

# SmErRh2

An optimized crystal structure of SmErRh2 (PBE, Alexandria via LeMat-Bulk).

a = 4.835 Å, b = 4.835 Å, c = 3.507 Å
α = 90.00°, β = 90.00°, γ = 90.00°
Atoms (fractional coordinates):
Sm1 0.000 0.000 0.000
Er1 0.500 0.500 0.000
Rh1 0.000 0.500 0.500
Rh2 0.500 0.000 0.500

Calculated values
Raw total energy in eV/cell: -27.25
Volume in Å³/cell: 82.0

=====

# AgMoBr2

An optimized crystal structure of AgMoBr2 (PBE, Alexandria via LeMat-Bulk).

a = 3.143 Å, b = 4.717 Å, c = 12.989 Å
α = 90.00°, β = 90.00°, γ = 90.00°
Atoms (fractional coordinates):
Ag1 0.000 0.000 0.000
Ag2 0.500 0.500 0.500
Mo1 0.000 0.500 0.311
Mo2 0.500 0.000 0.811
Br1 0.000 0.000 0.647
Br2 0.000 0.500 0.840
Br3 0.500 0.000 0.340
Br4 0.500 0.500 0.147

Calculated values
Formation energy (no corrections) in eV/f.u.: 1.58
Raw total energy in eV/cell: -30.90
ΔE to the lowest computed polymorph in meV per atom: 251
Volume in Å³/cell: 192.6

=====

# Ce4Pm3TmS8

An optimized crystal structure of Ce4Pm3TmS8 (PBE, Alexandria via LeMat-Bulk).

a = 8.022 Å, b = 8.022 Å, c = 8.022 Å
α = 59.87°, β = 59.87°, γ = 59.87°
Atoms (fractional coordinates):
Ce1 0.000 0.000 0.000
Ce2 0.000 0.500 0.500
Ce3 0.500 0.000 0.500
Ce4 0.500 0.500 0.000
Pm1 0.000 0.000 0.500
Pm2 0.000 0.500 0.000
Pm3 0.500 0.000 0.000
Tm1 0.500 0.500 0.500
S1 0.250 0.250 0.250
S2 0.256 0.256 0.743
S3 0.256 0.743 0.256
S4 0.257 0.744 0.744
S5 0.743 0.256 0.256
S6 0.744 0.257 0.744
S7 0.744 0.744 0.257
S8 0.750 0.750 0.750

Calculated values
Formation energy (no corrections) in eV/f.u.: -32.47
Raw total energy in eV/cell: -107.94
Volume in Å³/cell: 364.0

=====

# V3Ge6Ir

An optimized crystal structure of V3Ge6Ir (PBE, Alexandria via LeMat-Bulk).

a = 6.938 Å, b = 6.938 Å, c = 6.938 Å
α = 85.91°, β = 85.91°, γ = 85.91°
Atoms (fractional coordinates):
V1 0.110 0.548 0.635
V2 0.365 0.890 0.452
V3 0.452 0.365 0.890
V4 0.548 0.635 0.110
V5 0.635 0.110 0.548
V6 0.890 0.452 0.365
Ge1 0.023 0.902 0.662
Ge2 0.098 0.338 0.977
Ge3 0.222 0.587 0.274
Ge4 0.274 0.222 0.587
Ge5 0.338 0.977 0.098
Ge6 0.413 0.726 0.778
Ge7 0.587 0.274 0.222
Ge8 0.662 0.023 0.902
Ge9 0.726 0.778 0.413
Ge10 0.778 0.413 0.726
Ge11 0.902 0.662 0.023
Ge12 0.977 0.098 0.338
Ir1 0.000 0.000 0.000
Ir2 0.500 0.500 0.500

Calculated values
Raw total energy in eV/cell: -128.37
Volume in Å³/cell: 331.6

=====

# LiTaBi2S6

An optimized crystal structure of LiTaBi2S6 (PBE, Alexandria via LeMat-Bulk).

a = 7.117 Å, b = 7.117 Å, c = 7.117 Å
α = 57.15°, β = 57.15°, γ = 57.15°
Atoms (fractional coordinates):
Li1 0.000 0.000 0.000
Ta1 0.491 0.491 0.491
Bi1 0.290 0.290 0.290
Bi2 0.786 0.786 0.786
S1 0.125 0.698 0.362
S2 0.230 0.618 0.823
S3 0.362 0.125 0.698
S4 0.618 0.823 0.230
S5 0.698 0.362 0.125
S6 0.823 0.230 0.618

Calculated values
Formation energy (no corrections) in eV/f.u.: -6.79
Raw total energy in eV/cell: -53.08
Volume in Å³/cell: 238.1

=====

# Tm3RuAu2

An optimized crystal structure of Tm3RuAu2 (PBE, Alexandria via LeMat-Bulk).

a = 3.457 Å, b = 3.457 Å, c = 10.629 Å
α = 90.00°, β = 90.00°, γ = 90.00°
Atoms (fractional coordinates):
Tm1 0.000 0.000 0.000
Tm2 0.000 0.000 0.346
Tm3 0.000 0.000 0.654
Ru1 0.500 0.500 0.500
Au1 0.500 0.500 0.172
Au2 0.500 0.500 0.828

Calculated values
Raw total energy in eV/cell: -33.89
Volume in Å³/cell: 127.0